DFT (GGA-PBE) results for a relaxed Y5Tm3Se8 crystal.

Formation energy (no corrections): -1.7210 eV per atom
Calculated volume: 23.69 Å³/atom
Calculated total energy: -101.1 eV per formula unit
Spin magnetization: 0.000 μB/atom
Symmetry: R-3m (166)

a = 8.1335 Å, b = 8.1335 Å, c = 8.1335 Å
α = 59.84°, β = 59.84°, γ = 59.84°
With the nearest neighbours (Å) after each atom.
Sites, in units of the cell vectors:
Y (0.0000, 0.0000, 0.0000)  6 Se 2.87
Y (0.0000, 0.5000, 0.5000)  6 Se 2.90
Y (0.5000, 0.0000, 0.5000)  6 Se 2.90
Y (0.5000, 0.5000, 0.0000)  6 Se 2.90
Y (0.5000, 0.5000, 0.5000)  6 Se 2.87
Tm (0.0000, 0.0000, 0.5000)  6 Se 2.84
Tm (0.0000, 0.5000, 0.0000)  6 Se 2.84
Tm (0.5000, 0.0000, 0.0000)  6 Se 2.84
Se (0.2450, 0.7500, 0.7500)  2 Tm 2.84, 4 Y 2.87-2.90
Se (0.2475, 0.2475, 0.2475)  3 Tm 2.84, 3 Y 2.90
Se (0.2500, 0.2500, 0.7550)  2 Tm 2.84, 4 Y 2.87-2.90
Se (0.2500, 0.7550, 0.2500)  2 Tm 2.84, 4 Y 2.87-2.90
Se (0.7500, 0.2450, 0.7500)  2 Tm 2.84, 4 Y 2.87-2.90
Se (0.7500, 0.7500, 0.2450)  2 Tm 2.84, 4 Y 2.87-2.90
Se (0.7525, 0.7525, 0.7525)  3 Tm 2.84, 3 Y 2.90
Se (0.7550, 0.2500, 0.2500)  2 Tm 2.84, 4 Y 2.87-2.90

DFT (GGA-PBE) results for a relaxed ScBe2MoRu crystal.

Energy of formation from the pure elements: 0.7717 eV per atom
Calculated volume: 17.39 Å³/atom
Calculated total energy: -30.0 eV per formula unit
Spin magnetization: 0.000 μB/atom
Symmetry: P4/mmm (123)

a = 4.3424 Å, b = 4.3424 Å, c = 4.6113 Å
α = 90.00°, β = 90.00°, γ = 90.00°
With the nearest neighbours (Å) after each atom.
Sites, in units of the cell vectors:
Sc (0.0000, 0.0000, 0.0000)  4 Ru 3.07, 8 Be 3.17
Be (0.0000, 0.5000, 0.5000)  2 Mo 2.17
Be (0.5000, 0.0000, 0.5000)  2 Mo 2.17
Mo (0.5000, 0.5000, 0.5000)  4 Be 2.17, 2 Ru 2.31
Ru (0.5000, 0.5000, 0.0000)  2 Mo 2.31